Material: TbTm2In2
Method: DFT, PBE
State: relaxed

Its volume is 29.9 Å³ per atom. The formation energy comes out at -122 meV per atom.

The structure belongs to space group I4/mmm (No. 139); the cell edges are 4.5438, 4.5438 and 28.9185 Å and the angles 90.00°, 90.00° and 90.00°. The distinct sites, in fractional coordinates, are Tb at (0.0000, 0.0000, 0.1398), Tm at (0.0000, 0.0000, 0.4259), Tm at (0.0000, 0.5000, 0.2500), In at (0.0000, 0.0000, 0.3249) and In at (0.0000, 0.5000, 0.0000).